(1)
Pm6TeAs2S3: optimized geometry, PBE.

```
Pm6TeAs2S3
1.0
9.096 -2.083 0.000
9.096 2.083 0.000
-1.878 0.000 8.175
Pm Te As S
6 1 2 3
Cartesian
17.770 0.000 1.819
-1.455 0.000 6.356
5.120 0.000 3.357
4.348 0.000 7.491
11.966 0.000 0.684
11.195 0.000 4.819
8.157 0.000 4.088
1.469 0.000 6.805
14.846 0.000 1.371
2.352 0.000 2.724
9.096 0.000 0.000
13.963 0.000 5.451
```

The raw formation energy is -40.8 kcal/mol of atoms. The calculation puts the raw total energy at -74.58 eV/cell. The total moment is 0.0 μB/f.u. The calculation puts the density of states at the Fermi level at 4.28 states/eV per cell.

(2)
Dy3AgTe8Pb3: optimized geometry, PBE.

```
Dy3AgTe8Pb3
1.0
4.429 2.557 7.521
-4.429 2.557 7.521
0.000 -5.114 7.521
Dy Ag Te Pb
3 1 8 3
Cartesian
-2.214 -1.279 7.521
-2.214 1.279 15.042
0.000 2.557 7.521
0.000 0.000 0.000
0.000 -2.535 9.256
-2.195 1.267 9.256
0.000 0.000 5.748
-2.195 -1.267 13.307
2.195 1.267 9.256
0.000 0.000 16.815
2.195 -1.267 13.307
0.000 2.535 13.307
-4.429 0.000 11.282
-2.214 1.279 3.761
2.214 1.279 3.761
```

The raw formation energy is -17.5 kcal/mol of atoms. The calculation puts the raw total energy at -64.31 eV/cell. The total moment is 0.0 μB/f.u.

(3)
SrY2P: optimized geometry, PBE.

```
SrY2P
1.0
4.716 0.000 0.000
0.000 4.716 0.000
0.000 0.000 4.763
Sr Y P
1 2 1
Cartesian
0.000 0.000 0.000
0.000 2.358 2.381
2.358 0.000 2.381
2.358 2.358 0.000
```

The calculation puts the raw total energy at -20.54 eV/cell. The total moment is 0.0 μB/f.u. The calculation puts the density of states at the Fermi level at 5.47 states/eV per cell.

(4)
Pm6ZrSn10: optimized geometry, PBE.

```
Pm6ZrSn10
1.0
9.339 0.000 0.000
-4.670 8.088 0.000
0.000 0.000 6.313
Pm Zr Sn
6 1 10
Cartesian
-1.816 3.145 1.655
-2.854 4.943 4.658
3.631 0.000 1.655
1.816 3.145 4.658
5.708 0.000 4.658
2.854 4.943 1.655
0.000 0.000 3.156
-1.118 1.936 5.061
-3.552 6.152 1.252
2.235 0.000 5.061
1.118 1.936 1.252
0.000 5.392 0.000
0.000 5.392 3.156
4.670 2.696 0.000
4.670 2.696 3.156
7.104 0.000 1.252
3.552 6.152 5.061
```

The calculation puts the raw total energy at -86.52 eV/cell. The total moment is 0.0 μB/f.u. The calculation puts the density of states at the Fermi level at 12.23 states/eV per cell.